No. 1
# Li2MgTiZn (PBE-GGA, relaxed)
data_Li2MgTiZn
_chemical_formula_sum 'Li2 Mg1 Ti1 Zn1'
_cell_length_a 4.723
_cell_length_b 5.259
_cell_length_c 4.723
_cell_angle_alpha 90.00
_cell_angle_beta 90.00
_cell_angle_gamma 90.00
_symmetry_space_group_name_H-M 'P 1'
_symmetry_Int_Tables_number 1
loop_
_symmetry_equiv_pos_as_xyz
'x,y,z'
loop_
_atom_site_label
_atom_site_fract_x
_atom_site_fract_y
_atom_site_fract_z
Zn1 0.500 0.500 0.500
Li1 0.000 0.000 0.500
Li2 0.500 0.000 0.000
Mg1 0.000 0.000 0.000
Ti1 0.000 0.500 0.000
# DFT total energy	-10.4	eV for the cell shown
# DFT formation energy	0.83	eV/atom
# density	2.14	g/cm3

***

No. 2
# LaTh2Zn (PBE-GGA, relaxed)
data_LaTh2Zn
_chemical_formula_sum 'La1 Th2 Zn1'
_cell_length_a 5.200
_cell_length_b 5.200
_cell_length_c 6.168
_cell_angle_alpha 65.07
_cell_angle_beta 65.07
_cell_angle_gamma 60.00
_symmetry_space_group_name_H-M 'P 1'
_symmetry_Int_Tables_number 1
loop_
_symmetry_equiv_pos_as_xyz
'x,y,z'
loop_
_atom_site_label
_atom_site_fract_x
_atom_site_fract_y
_atom_site_fract_z
La1 0.490 0.490 0.531
Th1 0.046 0.046 0.863
Th2 0.276 0.276 0.173
Zn1 0.689 0.689 0.932
# DFT total energy	-20.1	eV for the cell shown
# DFT formation energy	0.22	eV/atom
# density	8.80	g/cm3

***

No. 3
# Tm2HfSc (PBE-GGA, relaxed)
data_Tm2HfSc
_chemical_formula_sum 'Tm2 Hf1 Sc1'
_cell_length_a 3.333
_cell_length_b 3.333
_cell_length_c 11.081
_cell_angle_alpha 81.35
_cell_angle_beta 81.35
_cell_angle_gamma 60.00
_symmetry_space_group_name_H-M 'P 1'
_symmetry_Int_Tables_number 1
loop_
_symmetry_equiv_pos_as_xyz
'x,y,z'
loop_
_atom_site_label
_atom_site_fract_x
_atom_site_fract_y
_atom_site_fract_z
Sc1 0.000 0.000 0.000
Tm1 0.753 0.753 0.742
Tm2 0.247 0.247 0.258
Hf1 0.500 0.500 0.500
# DFT total energy	-24.8	eV for the cell shown
# DFT formation energy	0.10	eV/atom
# density	8.88	g/cm3

***

No. 4
# PuTi12Nb6 (PBE-GGA, relaxed)
data_PuTi12Nb6
_chemical_formula_sum 'Pu1 Ti12 Nb6'
_cell_length_a 8.025
_cell_length_b 8.025
_cell_length_c 8.025
_cell_angle_alpha 112.36
_cell_angle_beta 112.36
_cell_angle_gamma 112.36
_symmetry_space_group_name_H-M 'P 1'
_symmetry_Int_Tables_number 1
loop_
_symmetry_equiv_pos_as_xyz
'x,y,z'
loop_
_atom_site_label
_atom_site_fract_x
_atom_site_fract_y
_atom_site_fract_z
Pu1 0.000 0.000 0.000
Ti1 0.791 0.209 0.500
Ti2 0.410 0.175 0.410
Ti3 0.410 0.410 0.175
Ti4 0.825 0.590 0.590
Ti5 0.590 0.590 0.825
Ti6 0.590 0.825 0.590
Ti7 0.500 0.791 0.209
Ti8 0.209 0.500 0.791
Ti9 0.209 0.791 0.500
Ti10 0.500 0.209 0.791
Ti11 0.791 0.500 0.209
Ti12 0.175 0.410 0.410
Nb1 0.005 0.662 0.005
Nb2 0.005 0.005 0.662
Nb3 0.662 0.005 0.005
Nb4 0.995 0.995 0.338
Nb5 0.995 0.338 0.995
Nb6 0.338 0.995 0.995
# DFT total energy	-164.2	eV for the cell shown
# DFT formation energy	0.28	eV/atom
# density	6.55	g/cm3

***

No. 5
# Nd2B10Mo (PBE-GGA, relaxed)
data_Nd2B10Mo
_chemical_formula_sum 'Nd4 B20 Mo2'
_cell_length_a 4.161
_cell_length_b 5.878
_cell_length_c 11.701
_cell_angle_alpha 90.00
_cell_angle_beta 90.00
_cell_angle_gamma 90.00
_symmetry_space_group_name_H-M 'P 1'
_symmetry_Int_Tables_number 1
loop_
_symmetry_equiv_pos_as_xyz
'x,y,z'
loop_
_atom_site_label
_atom_site_fract_x
_atom_site_fract_y
_atom_site_fract_z
Nd1 0.500 0.296 0.860
Nd2 0.500 0.704 0.140
Nd3 0.500 0.796 0.640
Nd4 0.500 0.204 0.360
B1 0.000 0.117 0.543
B2 0.000 0.883 0.457
B3 0.000 0.617 0.957
B4 0.000 0.383 0.043
B5 0.000 0.124 0.698
B6 0.000 0.876 0.302
B7 0.299 0.231 0.120
B8 0.299 0.769 0.880
B9 0.701 0.731 0.380
B10 0.701 0.269 0.620
B11 0.701 0.769 0.880
B12 0.701 0.231 0.120
B13 0.299 0.269 0.620
B14 0.299 0.731 0.380
B15 0.000 0.070 0.194
B16 0.000 0.930 0.806
B17 0.000 0.570 0.306
B18 0.000 0.430 0.694
B19 0.000 0.376 0.198
B20 0.000 0.624 0.802
Mo1 0.000 0.500 0.500
Mo2 0.000 0.000 0.000
# DFT total energy	-183.1	eV for the cell shown
# DFT formation energy	-0.34	eV/atom
# density	5.72	g/cm3

***

No. 6
# Pa3Si2Rh6 (PBE-GGA, relaxed)
data_Pa3Si2Rh6
_chemical_formula_sum 'Pa6 Si4 Rh12'
_cell_length_a 7.929
_cell_length_b 7.929
_cell_length_c 7.929
_cell_angle_alpha 109.47
_cell_angle_beta 109.47
_cell_angle_gamma 109.47
_symmetry_space_group_name_H-M 'P 1'
_symmetry_Int_Tables_number 1
loop_
_symmetry_equiv_pos_as_xyz
'x,y,z'
loop_
_atom_site_label
_atom_site_fract_x
_atom_site_fract_y
_atom_site_fract_z
Pa1 0.724 0.000 0.724
Pa2 0.276 0.000 0.276
Pa3 0.000 0.276 0.276
Pa4 0.000 0.724 0.724
Pa5 0.276 0.276 0.000
Pa6 0.724 0.724 0.000
Si1 0.000 0.500 0.000
Si2 0.500 0.000 0.000
Si3 0.000 0.000 0.500
Si4 0.500 0.500 0.500
Rh1 0.654 0.309 0.654
Rh2 0.654 0.000 0.346
Rh3 0.346 0.000 0.654
Rh4 0.346 0.691 0.346
Rh5 0.000 0.654 0.346
Rh6 0.691 0.346 0.346
Rh7 0.309 0.654 0.654
Rh8 0.000 0.346 0.654
Rh9 0.346 0.654 0.000
Rh10 0.654 0.654 0.309
Rh11 0.346 0.346 0.691
Rh12 0.654 0.346 0.000
# energy relative to the elements, uncorrected	-778	meV per atom
# DFT total energy	-184.0	eV for the cell shown
# density	11.83	g/cm3

***

No. 7
# Si2MoAs (PBE-GGA, relaxed)
data_Si2MoAs
_chemical_formula_sum 'Si2 Mo1 As1'
_cell_length_a 7.447
_cell_length_b 7.447
_cell_length_c 7.447
_cell_angle_alpha 24.66
_cell_angle_beta 24.66
_cell_angle_gamma 24.66
_symmetry_space_group_name_H-M 'P 1'
_symmetry_Int_Tables_number 1
loop_
_symmetry_equiv_pos_as_xyz
'x,y,z'
loop_
_atom_site_label
_atom_site_fract_x
_atom_site_fract_y
_atom_site_fract_z
As1 0.250 0.250 0.250
Mo1 0.750 0.750 0.750
Si1 0.001 0.001 0.001
Si2 0.499 0.499 0.499
# energy relative to the elements, uncorrected	192	meV per atom
# DFT total energy	-25.6	eV for the cell shown
# density	5.96	g/cm3

***

No. 8
# ThNi6B (PBE-GGA, relaxed)
data_ThNi6B
_chemical_formula_sum 'Th1 Ni6 B1'
_cell_length_a 5.286
_cell_length_b 5.286
_cell_length_c 5.372
_cell_angle_alpha 60.53
_cell_angle_beta 60.53
_cell_angle_gamma 60.00
_symmetry_space_group_name_H-M 'P 1'
_symmetry_Int_Tables_number 1
loop_
_symmetry_equiv_pos_as_xyz
'x,y,z'
loop_
_atom_site_label
_atom_site_fract_x
_atom_site_fract_y
_atom_site_fract_z
Th1 0.500 0.500 0.500
Ni1 0.898 0.898 0.770
Ni2 0.435 0.898 0.770
Ni3 0.102 0.565 0.230
Ni4 0.565 0.102 0.230
Ni5 0.102 0.102 0.230
Ni6 0.898 0.435 0.770
B1 0.000 0.000 0.000
# DFT total energy	-50.4	eV for the cell shown
# DFT formation energy	-0.20	eV/atom
# density	9.24	g/cm3

***

No. 9
# SiBF3 (PBE-GGA, relaxed)
data_SiBF3
_chemical_formula_sum 'Si1 B1 F3'
_cell_length_a 3.882
_cell_length_b 3.882
_cell_length_c 3.882
_cell_angle_alpha 90.00
_cell_angle_beta 90.00
_cell_angle_gamma 90.00
_symmetry_space_group_name_H-M 'P 1'
_symmetry_Int_Tables_number 1
loop_
_symmetry_equiv_pos_as_xyz
'x,y,z'
loop_
_atom_site_label
_atom_site_fract_x
_atom_site_fract_y
_atom_site_fract_z
Si1 0.500 0.500 0.500
B1 0.000 0.000 0.000
F1 0.000 0.500 0.000
F2 0.000 0.000 0.500
F3 0.500 0.000 0.000
# energy relative to the elements, uncorrected	-353	meV per atom
# DFT total energy	-19.5	eV for the cell shown
# density	2.72	g/cm3

***

No. 10
# AlHgMo2 (PBE-GGA, relaxed)
data_AlHgMo2
_chemical_formula_sum 'Al1 Hg1 Mo2'
_cell_length_a 4.373
_cell_length_b 2.803
_cell_length_c 5.824
_cell_angle_alpha 71.03
_cell_angle_beta 90.00
_cell_angle_gamma 90.00
_symmetry_space_group_name_H-M 'P 1'
_symmetry_Int_Tables_number 1
loop_
_symmetry_equiv_pos_as_xyz
'x,y,z'
loop_
_atom_site_label
_atom_site_fract_x
_atom_site_fract_y
_atom_site_fract_z
Mo1 0.000 0.012 0.030
Mo2 0.000 0.488 0.470
Hg1 0.500 0.750 0.750
Al1 0.500 0.250 0.250
# DFT total energy	-24.7	eV for the cell shown
# DFT formation energy	0.24	eV/atom
# density	10.32	g/cm3

***

No. 11
# LiLa2Ag (PBE-GGA, relaxed)
data_LiLa2Ag
_chemical_formula_sum 'Li1 La2 Ag1'
_cell_length_a 3.580
_cell_length_b 3.580
_cell_length_c 10.929
_cell_angle_alpha 80.57
_cell_angle_beta 80.57
_cell_angle_gamma 60.00
_symmetry_space_group_name_H-M 'P 1'
_symmetry_Int_Tables_number 1
loop_
_symmetry_equiv_pos_as_xyz
'x,y,z'
loop_
_atom_site_label
_atom_site_fract_x
_atom_site_fract_y
_atom_site_fract_z
Li1 0.500 0.500 0.501
La1 0.078 0.078 0.767
La2 0.256 0.256 0.232
Ag1 0.667 0.667 0.000
# DFT total energy	-14.3	eV for the cell shown
# DFT formation energy	0.07	eV/atom
# density	5.47	g/cm3

***

No. 12
# NdEr2Tl (PBE-GGA, relaxed)
data_NdEr2Tl
_chemical_formula_sum 'Nd2 Er4 Tl2'
_cell_length_a 4.833
_cell_length_b 4.717
_cell_length_c 11.148
_cell_angle_alpha 102.22
_cell_angle_beta 90.00
_cell_angle_gamma 90.00
_symmetry_space_group_name_H-M 'P 1'
_symmetry_Int_Tables_number 1
loop_
_symmetry_equiv_pos_as_xyz
'x,y,z'
loop_
_atom_site_label
_atom_site_fract_x
_atom_site_fract_y
_atom_site_fract_z
Nd1 0.250 0.308 0.616
Nd2 0.750 0.692 0.384
Er1 0.750 0.444 0.888
Er2 0.250 0.556 0.112
Er3 0.250 0.937 0.873
Er4 0.750 0.063 0.127
Tl1 0.750 0.839 0.677
Tl2 0.250 0.161 0.323
# DFT total energy	-33.8	eV for the cell shown
# DFT formation energy	-0.16	eV/atom
# density	9.13	g/cm3